[1]
Density functional theory data (GGA-PBE) for a geometry-optimized MnGaBr2 structure.

Summary:
- relative energy among the computed polymorphs (eV/atom) = 0.000
- E_form (uncorrected) (meV per atom) = -277.4
- raw total energy (eV per atom) = -4.163

abc: 7.127 7.127 7.127
angles: 98.20 98.20 135.63
Atoms (fractional coordinates):
Mn (0.000, 0.000, 0.000)
Mn (0.750, 0.250, 0.500)
Ga (0.250, 0.750, 0.500)
Ga (0.500, 0.500, 0.000)
Br (0.375, 0.225, 0.350)
Br (0.775, 0.125, 0.150)
Br (0.875, 0.025, 0.650)
Br (0.975, 0.625, 0.850)

***

[2]
Density functional theory data (GGA-PBE) for a geometry-optimized Mn5Ga3Br12 structure.

Summary:
- E_form (uncorrected) (meV per atom) = -599.9
- raw total energy (eV per atom) = -4.350

abc: 14.635 14.635 14.635
angles: 109.47 109.47 109.47
Atoms (fractional coordinates):
Mn (0.000, 0.000, 0.000)
Mn (0.000, 0.000, 0.500)
Mn (0.000, 0.500, 0.000)
Mn (0.000, 0.500, 0.500)
Mn (0.125, 0.750, 0.875)
Mn (0.125, 0.875, 0.250)
Mn (0.250, 0.125, 0.875)
Mn (0.250, 0.625, 0.375)
Mn (0.375, 0.250, 0.625)
Mn (0.375, 0.625, 0.750)
Mn (0.500, 0.000, 0.000)
Mn (0.500, 0.000, 0.500)
Mn (0.500, 0.500, 0.000)
Mn (0.500, 0.500, 0.500)
Mn (0.625, 0.375, 0.250)
Mn (0.625, 0.750, 0.375)
Mn (0.750, 0.375, 0.625)
Mn (0.750, 0.875, 0.125)
Mn (0.875, 0.125, 0.750)
Mn (0.875, 0.250, 0.125)
Ga (0.125, 0.250, 0.375)
Ga (0.125, 0.375, 0.750)
Ga (0.250, 0.375, 0.125)
Ga (0.250, 0.875, 0.625)
Ga (0.375, 0.125, 0.250)
Ga (0.375, 0.750, 0.125)
Ga (0.625, 0.250, 0.875)
Ga (0.625, 0.875, 0.750)
Ga (0.750, 0.125, 0.375)
Ga (0.750, 0.625, 0.875)
Ga (0.875, 0.625, 0.250)
Ga (0.875, 0.750, 0.625)
Br (0.025, 0.204, 0.117)
Br (0.025, 0.321, 0.907)
Br (0.086, 0.704, 0.679)
Br (0.086, 0.883, 0.407)
Br (0.093, 0.617, 0.414)
Br (0.093, 0.975, 0.679)
Br (0.117, 0.025, 0.204)
Br (0.117, 0.593, 0.914)
Br (0.179, 0.204, 0.586)
Br (0.179, 0.475, 0.593)
Br (0.204, 0.117, 0.025)
Br (0.204, 0.586, 0.179)
Br (0.296, 0.321, 0.914)
Br (0.296, 0.475, 0.383)
Br (0.321, 0.907, 0.025)
Br (0.321, 0.914, 0.296)
Br (0.383, 0.296, 0.475)
Br (0.383, 0.586, 0.907)
Br (0.407, 0.086, 0.883)
Br (0.407, 0.821, 0.525)
Br (0.414, 0.093, 0.617)
Br (0.414, 0.821, 0.796)
Br (0.475, 0.383, 0.296)
Br (0.475, 0.593, 0.179)
Br (0.525, 0.407, 0.821)
Br (0.525, 0.617, 0.704)
Br (0.586, 0.179, 0.204)
Br (0.586, 0.907, 0.383)
Br (0.593, 0.179, 0.475)
Br (0.593, 0.914, 0.117)
Br (0.617, 0.414, 0.093)
Br (0.617, 0.704, 0.525)
Br (0.679, 0.086, 0.704)
Br (0.679, 0.093, 0.975)
Br (0.704, 0.525, 0.617)
Br (0.704, 0.679, 0.086)
Br (0.796, 0.414, 0.821)
Br (0.796, 0.883, 0.975)
Br (0.821, 0.525, 0.407)
Br (0.821, 0.796, 0.414)
Br (0.883, 0.407, 0.086)
Br (0.883, 0.975, 0.796)
Br (0.907, 0.025, 0.321)
Br (0.907, 0.383, 0.586)
Br (0.914, 0.117, 0.593)
Br (0.914, 0.296, 0.321)
Br (0.975, 0.679, 0.093)
Br (0.975, 0.796, 0.883)